Entry 1:
# Dy5ErSb4

A relaxed Dy5ErSb4 crystal (PBE, Alexandria).

Lattice parameters (Å, degrees): 9.5364 9.5364 8.3902 105.20 105.20 26.00
Last column: nearest neighbours and their distance in Å.
Positions (direct):
Dy 0.0000 0.0000 0.0000  4 Sb 3.00
Dy 0.3221 0.3221 0.1494  3 Sb 3.05-3.06
Dy 0.3365 0.3365 0.6784  4 Sb 3.00-3.07
Dy 0.6635 0.6635 0.3216  4 Sb 3.00-3.07
Dy 0.6779 0.6779 0.8506  3 Sb 3.05-3.06
Er 0.0000 0.0000 0.5000  6 Sb 3.01-3.02
Sb 0.1687 0.1687 0.5860  5 Dy 3.00-3.07, 1 Er 3.02
Sb 0.4923 0.4923 0.2441  4 Dy 3.00-3.07, 2 Er 3.01
Sb 0.5077 0.5077 0.7559  4 Dy 3.00-3.07, 2 Er 3.01
Sb 0.8313 0.8313 0.4140  5 Dy 3.00-3.07, 1 Er 3.02

Properties
Space group: C2/m (12)

---

Entry 2:
# Dy2Er2Sb5

A relaxed Dy2Er2Sb5 crystal (PBE, Alexandria).

Lattice parameters (Å, degrees): 8.7628 8.7628 8.2029 90.00 90.00 54.00
Last column: nearest neighbours and their distance in Å.
Positions (direct):
Dy 0.1913 0.1913 0.0000  7 Sb 2.99-3.22
Dy 0.3087 0.3087 0.5000  7 Sb 2.99-3.22
Dy 0.6913 0.6913 0.5000  7 Sb 2.99-3.22
Dy 0.8087 0.8087 0.0000  7 Sb 2.99-3.22
Er 0.1556 0.8444 0.6602  8 Sb 3.04-3.34
Er 0.3444 0.6556 0.1602  8 Sb 3.04-3.34
Er 0.6556 0.3444 0.8398  8 Sb 3.04-3.34
Er 0.8444 0.1556 0.3398  8 Sb 3.04-3.34
Sb 0.0000 0.0000 0.0000  2 Dy 2.99, 4 Er 3.04-3.05
Sb 0.0083 0.7120 0.3524  3 Er 3.11-3.34, 3 Dy 3.13-3.22, 1 Sb 3.38
Sb 0.2120 0.5083 0.8524  3 Er 3.11-3.34, 3 Dy 3.13-3.22, 1 Sb 3.38
Sb 0.2880 0.9917 0.3524  3 Er 3.11-3.34, 3 Dy 3.13-3.22, 1 Sb 3.38
Sb 0.4917 0.7880 0.8524  3 Er 3.11-3.34, 3 Dy 3.13-3.22, 1 Sb 3.38
Sb 0.5000 0.5000 0.5000  2 Dy 2.99, 4 Er 3.04-3.05
Sb 0.5083 0.2120 0.1476  3 Er 3.11-3.34, 3 Dy 3.13-3.22, 1 Sb 3.38
Sb 0.7120 0.0083 0.6476  3 Er 3.11-3.34, 3 Dy 3.13-3.22, 1 Sb 3.38
Sb 0.7880 0.4917 0.1476  3 Er 3.11-3.34, 3 Dy 3.13-3.22, 1 Sb 3.38
Sb 0.9917 0.2880 0.6476  3 Er 3.11-3.34, 3 Dy 3.13-3.22, 1 Sb 3.38

Properties
Space group: Cmce (64)

---

Entry 3:
# Dy4ErSb5

A relaxed Dy4ErSb5 crystal (PBE, Alexandria).

Lattice parameters (Å, degrees): 11.5773 11.5773 11.5773 158.21 149.00 38.21
Last column: nearest neighbours and their distance in Å.
Positions (direct):
Dy 0.1000 0.1000 0.0000  6 Sb 3.09-3.10
Dy 0.3004 0.3004 0.0000  6 Sb 3.09-3.10
Dy 0.6996 0.6996 0.0000  6 Sb 3.09-3.10
Dy 0.9000 0.9000 0.0000  6 Sb 3.09-3.10
Er 0.5000 0.5000 0.0000  6 Sb 3.08-3.09
Sb 0.0000 0.5000 0.5000  2 Er 3.09, 4 Dy 3.09
Sb 0.2001 0.7001 0.5000  6 Dy 3.09-3.10
Sb 0.4008 0.9008 0.5000  2 Er 3.08, 4 Dy 3.09-3.10
Sb 0.5992 0.0992 0.5000  2 Er 3.08, 4 Dy 3.09-3.10
Sb 0.7999 0.2999 0.5000  6 Dy 3.09-3.10

Properties
Space group: Immm (71)

---

Entry 4:
# Dy2ErSb

A relaxed Dy2ErSb crystal (PBE, Alexandria).

Lattice parameters (Å, degrees): 4.7625 4.7625 4.7687 90.00 90.00 90.00
Last column: nearest neighbours and their distance in Å.
Positions (direct):
Dy 0.0000 0.5000 0.0000  4 Dy 3.37, 4 Sb 3.37, 4 Er 3.37
Dy 0.5000 0.0000 0.0000  4 Dy 3.37, 4 Sb 3.37, 4 Er 3.37
Er 0.0000 0.0000 0.5000  4 Sb 3.37, 8 Dy 3.37
Sb 0.5000 0.5000 0.5000  4 Er 3.37, 8 Dy 3.37

Properties
Energy above the most stable polymorph in this dataset in eV/atom: 0.075
Space group: P4/mmm (123)

---

Entry 5:
# Dy3Er4Sb4

A relaxed Dy3Er4Sb4 crystal (PBE, Alexandria).

Lattice parameters (Å, degrees): 9.8732 9.8732 9.8732 156.38 124.96 60.71
Last column: nearest neighbours and their distance in Å.
Positions (direct):
Dy 0.0000 0.0000 0.0000  4 Sb 3.35
Dy 0.3990 0.8990 0.5000  6 Sb 3.08-3.26, 1 Dy 3.44
Dy 0.6010 0.1010 0.5000  6 Sb 3.08-3.26, 1 Dy 3.44
Er 0.0161 0.3310 0.6851  4 Sb 3.04-3.10, 1 Er 3.38
Er 0.3541 0.6690 0.6851  4 Sb 3.04-3.10, 1 Er 3.38
Er 0.6459 0.3310 0.3149  4 Sb 3.04-3.10, 1 Er 3.38
Er 0.9839 0.6690 0.3149  4 Sb 3.04-3.10, 1 Er 3.38
Sb 0.2625 0.2625 0.0000  6 Er 3.08-3.10, 2 Dy 3.08
Sb 0.2935 0.5000 0.7935  2 Er 3.04, 6 Dy 3.26-3.35
Sb 0.7065 0.5000 0.2065  2 Er 3.04, 6 Dy 3.26-3.35
Sb 0.7375 0.7375 0.0000  6 Er 3.08-3.10, 2 Dy 3.08

Properties
Space group: Immm (71)

---

Entry 6:
# Dy2Er3Sb2

A relaxed Dy2Er3Sb2 crystal (PBE, Alexandria).

Lattice parameters (Å, degrees): 6.3591 6.3591 8.4221 107.77 107.77 38.95
Last column: nearest neighbours and their distance in Å.
Positions (direct):
Dy 0.1305 0.1305 0.2826  3 Sb 3.12-3.33, 2 Er 3.49
Dy 0.8695 0.8695 0.7174  3 Sb 3.12-3.33, 2 Er 3.49
Er 0.3742 0.3742 0.0547  3 Sb 3.18-3.21, 4 Er 3.43-3.56, 2 Dy 3.53
Er 0.5000 0.5000 0.5000  4 Sb 3.05
Er 0.6258 0.6258 0.9453  3 Sb 3.18-3.21, 4 Er 3.43-3.56, 2 Dy 3.53
Sb 0.1736 0.1736 0.6931  5 Er 3.05-3.21, 3 Dy 3.12-3.33
Sb 0.8264 0.8264 0.3069  5 Er 3.05-3.21, 3 Dy 3.12-3.33

Properties
Space group: C2/m (12)

---

Entry 7:
# Dy4Er3Sb4

A relaxed Dy4Er3Sb4 crystal (PBE, Alexandria).

Lattice parameters (Å, degrees): 9.9627 9.9627 9.9627 156.83 125.63 59.88
Last column: nearest neighbours and their distance in Å.
Positions (direct):
Dy 0.0134 0.8317 0.1817  4 Sb 3.08-3.11, 1 Dy 3.31
Dy 0.3500 0.1683 0.1817  4 Sb 3.08-3.11, 1 Dy 3.31
Dy 0.6500 0.8317 0.8183  4 Sb 3.08-3.11, 1 Dy 3.31
Dy 0.9866 0.1683 0.8183  4 Sb 3.08-3.11, 1 Dy 3.31
Er 0.0000 0.5000 0.5000  4 Sb 3.34
Er 0.4011 0.4011 0.0000  6 Sb 3.06-3.23, 1 Er 3.41
Er 0.5989 0.5989 0.0000  6 Sb 3.06-3.23, 1 Er 3.41
Sb 0.2670 0.7670 0.5000  2 Er 3.06, 6 Dy 3.11
Sb 0.2933 0.0000 0.2933  2 Dy 3.08, 6 Er 3.23-3.34
Sb 0.7067 0.0000 0.7067  2 Dy 3.08, 6 Er 3.23-3.34
Sb 0.7330 0.2330 0.5000  2 Er 3.06, 6 Dy 3.11

Properties
Space group: Immm (71)

---

Entry 8:
# DyErSb2

A relaxed DyErSb2 crystal (PBE, Alexandria).

Lattice parameters (Å, degrees): 4.3451 4.3451 7.4353 90.00 90.00 120.00
Last column: nearest neighbours and their distance in Å.
Positions (direct):
Dy 0.0000 0.0000 0.0000  6 Sb 3.13
Er 0.0000 0.0000 0.5000  6 Sb 3.11
Sb 0.3333 0.6667 0.7477  3 Er 3.11, 3 Dy 3.13
Sb 0.6667 0.3333 0.2523  3 Er 3.11, 3 Dy 3.13

Properties
Energy above the most stable polymorph in this dataset in eV/atom: 0.065
Space group: P-3m1 (164)

---

no.,ΔE_f (raw) (eV/f.u.)
1,-7.21
2,-7.45
3,-11.25
4,-1.88
5,-8.18
6,-4.38
7,-8.10
8,-4.19